# 1
# W3AuS

W3AuS after structural relaxation (PBE, Alexandria via LeMat-Bulk).

Output
**Polymorph energy (0 for the lowest one)**: 0.00 eV per formula unit
**Magnetization**: 0.0 μB/f.u.
**Uncorrected energy**: -8.348 eV/atom

POSCAR file:
```
W3AuS
1.0
4.419 0.000 0.000
0.000 4.419 0.000
0.000 0.000 4.419
W Au S
3 1 1
direct
0.000 0.000 0.500 W
0.000 0.500 0.000 W
0.500 0.000 0.000 W
0.500 0.500 0.500 Au
0.000 0.000 0.000 S
```

# 2
# WAuS2

WAuS2 after structural relaxation (PBE, Alexandria via LeMat-Bulk).

Output
**Polymorph energy (0 for the lowest one)**: 1.93 eV per formula unit
**Magnetization**: 0.0 μB/f.u.
**Uncorrected energy**: -5.915 eV/atom

POSCAR file:
```
WAuS2
1.0
5.701 0.000 0.000
0.000 5.701 0.000
0.000 0.000 10.577
W Au S
4 4 8
direct
0.000 0.000 0.000 W
0.000 0.500 0.250 W
0.500 0.000 0.750 W
0.500 0.500 0.500 W
0.000 0.000 0.500 Au
0.000 0.500 0.750 Au
0.500 0.000 0.250 Au
0.500 0.500 0.000 Au
0.214 0.250 0.125 S
0.250 0.714 0.375 S
0.250 0.786 0.875 S
0.286 0.250 0.625 S
0.714 0.750 0.625 S
0.750 0.214 0.875 S
0.750 0.286 0.375 S
0.786 0.750 0.125 S
```

# 3
# W2AuS2

W2AuS2 after structural relaxation (PBE, Alexandria via LeMat-Bulk).

Output
**Polymorph energy (0 for the lowest one)**: 0.00 eV per formula unit
**Magnetization**: 0.0 μB/f.u.
**Uncorrected energy**: -7.257 eV/atom

POSCAR file:
```
W2AuS2
1.0
4.287 0.000 0.000
0.000 4.287 0.000
0.000 0.000 9.120
W Au S
4 2 4
direct
0.000 0.500 0.250 W
0.000 0.500 0.750 W
0.500 0.000 0.250 W
0.500 0.000 0.750 W
0.000 0.000 0.000 Au
0.500 0.500 0.500 Au
0.000 0.000 0.362 S
0.000 0.000 0.638 S
0.500 0.500 0.138 S
0.500 0.500 0.862 S
```

Look up the magnetization of the third one.
0.0 μB/f.u.